Density functional theory data (PBE-GGA) for SrLiMo2 after structural relaxation.

Calculated values
Raw total energy: -5.59 eV per atom
Total moment: 0.0 μB per cell

extended XYZ file:
```
4
Lattice="4.750 -0.013 0.006 3.932 2.664 0.006 0.170 0.052 6.570" Properties=species:S:1:pos:R:3 pbc="T T T"
Mo 6.637 2.027 5.413
Mo 8.795 2.686 6.436
Li 2.250 0.687 1.252
Sr 4.444 1.357 3.353
```